1.
Re2SiAs: optimized geometry, PBE.

Size of the total moment ... 0.00 μB/f.u.
DOS at the Fermi energy ... 2.81 states/eV/cell
E_form (uncorrected) ... 0.46 eV per atom
Calculated volume ... 60.3 Å³/cell
E ... -8.2850 eV per atom
Symmetry ... Pmmm, No. 47

abc: 3.0168 5.0113 3.9895
angles: 90.00 90.00 90.00
Positions (direct):
1 As 0.0000 0.5000 0.5000
2 Re 0.0000 0.0000 0.0000
3 Re 0.5000 0.5000 0.0000
4 Si 0.5000 0.0000 0.5000

***

2.
ReSi2As: optimized geometry, PBE.

Size of the total moment ... 0.00 μB/f.u.
DOS at the Fermi energy ... 3.13 states/eV/cell
E_form (uncorrected) ... 0.45 eV per atom
Calculated volume ... 63.4 Å³/cell
E ... -6.5323 eV per atom
Symmetry ... Cmmm, No. 65

abc: 2.7901 2.7901 8.6225
angles: 90.00 90.00 109.19
Positions (direct):
1 As 0.5000 0.5000 0.2500
2 Re 0.5000 0.5000 0.7500
3 Si 0.0000 0.0000 0.9727
4 Si 0.0000 0.0000 0.5273

***

3.
Re2SiAs: optimized geometry, PBE.

Size of the total moment ... 0.00 μB/f.u.
DOS at the Fermi energy ... 3.17 states/eV/cell
E_form (uncorrected) ... 0.44 eV per atom
Calculated volume ... 60.3 Å³/cell
E ... -8.2975 eV per atom
Symmetry ... Cmmm, No. 65

abc: 2.9005 2.9005 8.0418
angles: 90.00 90.00 117.01
Positions (direct):
1 As 0.5000 0.5000 0.7500
2 Re 0.0000 0.0000 0.0110
3 Re 0.0000 0.0000 0.4890
4 Si 0.5000 0.5000 0.2500

***

4.
ReSi2As: optimized geometry, PBE.

Size of the total moment ... 0.00 μB/f.u.
DOS at the Fermi energy ... 1.67 states/eV/cell
E_form (uncorrected) ... 0.15 eV per atom
Calculated volume ... 61.8 Å³/cell
E ... -6.8351 eV per atom
Symmetry ... Pm, No. 6

abc: 4.1253 3.3315 4.7917
angles: 69.74 90.00 90.00
Positions (direct):
1 As 0.0000 0.5310 0.5636
2 Re 0.5000 0.9424 0.7373
3 Si 0.0000 0.7965 0.0364
4 Si 0.5000 0.2300 0.1627